TaCr2Ag meta-GGA SCAN PBEsol geometry; energy relative to the lowest polymorph listed for this composition = 269 meV per atom; E_form = 606 meV/atom; calculated volume = 57 Å³/f.u.
1.0
-0.985 1.048 2.880
-3.595 -2.351 -0.374
4.184 -2.532 0.554
Cr Ag Ta
2 1 1
Cartesian
-1.301 -2.314 2.196 Cr
0.905 -1.521 0.863 Cr
-1.797 -1.175 -0.187 Ag
-0.493 0.524 1.440 Ta


YSc2 meta-GGA SCAN PBEsol geometry; energy relative to the lowest polymorph listed for this composition = 0 meV per atom; E_form = 46 meV/atom; calculated volume = 78 Å³/f.u.
1.0
3.386 0.000 0.000
-1.693 5.972 0.003
0.000 -1.841 7.664
Sc Y
4 2
Cartesian
0.000 -0.148 2.210 Sc
1.693 1.607 0.183 Sc
0.000 2.524 7.484 Sc
1.693 4.279 5.457 Sc
1.693 1.039 4.897 Y
0.000 3.092 2.770 Y


Te3Rh meta-GGA SCAN PBEsol geometry; calculated volume = 116 Å³/f.u.; uncorrected formation energy = -0.005 eV per atom
1.0
3.815 0.000 0.000
0.000 7.966 0.000
0.000 0.000 7.643
Te Rh
6 2
Cartesian
0.000 6.804 2.089 Te
1.908 1.163 1.732 Te
1.908 1.163 5.911 Te
0.000 4.169 3.822 Te
1.908 3.797 0.000 Te
0.000 6.804 5.554 Te
1.908 2.566 3.822 Rh
0.000 5.401 0.000 Rh


Si2Bi2Br meta-GGA SCAN PBEsol geometry; calculated volume = 134 Å³/f.u.; uncorrected formation energy = 0.198 eV per atom
1.0
-0.439 -0.892 4.125
-2.805 -3.037 -0.955
7.132 -2.974 -2.066
Bi Si Br
2 2 1
Cartesian
4.130 -3.701 -0.361 Bi
-0.242 -3.202 1.464 Bi
2.535 -2.915 1.822 Si
1.352 -3.988 -0.719 Si
0.000 0.000 0.000 Br


KCa9MnP7O28 meta-GGA SCAN PBEsol geometry; calculated volume = 567 Å³/f.u.; uncorrected formation energy = -3.054 eV per atom
1.0
10.336 0.000 0.000
5.168 8.951 0.000
5.168 2.984 12.249
Ca O P K Mn
18 56 14 2 2
Cartesian
15.639 11.324 11.978 Ca
8.282 7.383 8.570 Ca
17.491 7.647 11.978 Ca
12.407 4.707 3.678 Ca
2.054 1.415 2.446 Ca
8.209 4.804 3.678 Ca
12.588 7.038 8.570 Ca
10.137 3.481 8.570 Ca
8.083 1.071 2.446 Ca
12.463 10.771 9.803 Ca
13.381 7.882 11.978 Ca
5.032 5.356 5.854 Ca
7.291 1.915 5.854 Ca
18.601 10.675 9.803 Ca
3.181 1.680 5.854 Ca
10.392 8.391 3.678 Ca
15.448 5.407 9.803 Ca
5.367 6.465 2.446 Ca
14.026 4.860 8.076 O
14.839 10.262 9.391 O
15.412 6.366 11.927 O
6.499 3.787 10.990 O
2.723 2.263 0.350 O
15.504 8.951 11.438 O
6.495 6.938 4.570 O
7.360 4.356 5.803 O
11.774 3.470 10.274 O
10.306 4.413 4.865 O
5.971 1.752 3.267 O
6.552 8.310 1.434 O
6.445 5.636 7.738 O
11.994 9.502 7.738 O
9.009 3.954 10.694 O
9.004 6.771 4.865 O
5.833 4.295 3.267 O
11.813 7.843 1.952 O
11.583 5.089 7.558 O
13.097 8.809 4.570 O
14.065 6.454 4.149 O
14.142 3.735 10.990 O
9.737 2.477 6.474 O
13.272 5.747 1.614 O
7.014 1.227 0.350 O
9.450 9.717 8.076 O
7.531 3.325 8.076 O
13.311 10.323 11.927 O
7.612 8.231 6.474 O
5.168 2.984 5.314 O
10.473 7.487 7.558 O
7.454 5.970 10.274 O
8.952 5.327 7.558 O
13.219 4.196 5.803 O
5.766 5.461 0.350 O
3.700 2.904 3.267 O
10.199 1.519 1.434 O
9.058 8.620 1.614 O
8.892 2.495 4.149 O
10.366 10.380 10.990 O
7.973 6.309 1.952 O
11.416 2.156 4.570 O
11.222 3.750 1.952 O
8.050 8.954 4.149 O
12.568 2.764 7.738 O
13.658 7.194 6.474 O
9.256 8.123 10.694 O
17.788 10.164 11.927 O
12.743 5.825 10.694 O
11.780 8.462 10.274 O
8.677 3.535 1.614 O
11.697 6.719 4.865 O
16.972 8.871 9.391 O
10.428 9.350 5.803 O
14.701 7.720 9.391 O
14.257 8.073 1.434 O
7.754 4.723 11.158 P
12.981 7.205 1.174 P
7.942 7.639 1.174 P
13.135 7.337 5.033 P
10.587 9.026 7.298 P
7.562 4.655 7.298 P
7.750 7.706 5.033 P
10.549 8.826 11.158 P
5.168 2.984 3.768 P
12.705 4.354 11.158 P
12.859 4.221 7.298 P
10.085 3.058 1.174 P
10.123 2.858 5.033 P
15.504 8.951 9.892 P
15.504 8.951 6.832 K
5.168 2.984 0.707 K
10.336 5.967 6.199 Mn
15.504 8.951 0.075 Mn


BaLuFeCuO5 meta-GGA SCAN PBEsol geometry; calculated volume = 110 Å³/f.u.; uncorrected formation energy = -2.428 eV per atom
1.0
-1.766 -2.691 2.056
3.383 -1.517 0.920
0.332 4.422 6.073
Lu Fe O Ba Cu
1 1 5 1 1
Cartesian
0.173 2.304 3.164 Lu
0.903 -0.844 3.219 Fe
1.805 0.745 2.525 O
1.924 2.331 4.703 O
-0.770 0.158 3.093 O
-0.651 1.744 5.272 O
0.822 -1.927 1.732 O
0.330 4.393 6.034 Ba
1.049 1.091 5.877 Cu


CeZn3P3 meta-GGA SCAN PBEsol geometry; E_form = -663 meV/atom; calculated volume = 134 Å³/f.u.
1.0
-2.233 -3.299 -0.036
3.772 -0.134 -1.275
5.961 -4.230 18.075
Zn P Ce
6 6 2
Cartesian
1.259 -3.302 4.070 Zn
4.968 -5.933 15.316 Zn
3.989 -2.763 5.865 Zn
3.511 -4.900 10.899 Zn
2.532 -1.730 1.449 Zn
6.241 -4.361 12.694 Zn
3.261 -2.246 3.657 P
7.213 -5.051 15.641 P
0.287 -2.612 1.124 P
2.231 -3.991 7.016 P
4.240 -5.416 13.108 P
5.270 -3.672 9.748 P
0.000 0.000 0.000 Ce
2.981 -2.115 9.038 Ce


Ba2W2F11 meta-GGA SCAN PBEsol geometry; calculated volume = 255 Å³/f.u.; uncorrected formation energy = -2.873 eV per atom
1.0
8.202 0.000 0.000
-4.101 7.103 0.000
0.000 0.000 13.119
F Ba W
33 6 6
Cartesian
-1.573 4.784 11.447 F
-1.793 5.770 1.766 F
0.663 1.022 0.943 F
4.122 2.155 6.442 F
1.996 4.811 9.379 F
1.353 3.326 2.205 F
0.000 2.666 10.511 F
4.654 6.018 5.315 F
-0.932 2.969 0.634 F
3.600 4.488 7.540 F
-2.607 6.344 8.642 F
1.069 0.498 11.513 F
0.745 3.349 7.075 F
1.793 5.771 6.139 F
3.907 2.456 10.815 F
-1.897 4.269 6.578 F
-0.090 1.674 4.269 F
5.565 4.094 4.018 F
-1.063 6.426 5.007 F
6.188 1.742 11.913 F
1.874 2.772 12.763 F
0.828 6.074 2.702 F
3.627 0.697 0.362 F
5.785 2.793 9.107 F
7.236 0.677 7.140 F
4.275 2.492 2.070 F
3.998 5.928 2.768 F
2.891 3.614 4.735 F
0.545 6.612 10.951 F
2.697 6.189 13.015 F
4.864 0.237 8.390 F
2.516 0.874 3.167 F
6.986 0.063 9.688 F
0.271 5.351 0.210 Ba
1.634 1.035 6.816 Ba
6.489 0.898 2.444 Ba
4.180 5.171 11.189 Ba
0.398 4.193 4.582 Ba
-0.668 4.662 8.955 Ba
4.507 3.974 5.802 W
2.507 1.916 1.429 W
-0.019 1.917 12.304 W
2.450 6.129 7.931 W
-2.432 6.161 3.558 W
5.290 1.213 10.175 W


> Which value of calculated volume does entry 8 give?

255 Å³/f.u.